[1]
BaAgH3: optimized geometry, PBE.

a b c (Å): 4.113 4.113 4.113
angles (deg): 90.00 90.00 90.00
Atoms (fractional coordinates):
Ag 0.000 0.000 0.000
H 0.000 0.000 0.500
H 0.500 0.000 0.000
H 0.000 0.500 0.000
Ba 0.500 0.500 0.500

Calculated values
As for the crystal system: cubic. The symmetry is Pm-3m (221). The offset from the most stable computed form is 0.000 eV/f.u.

---

[2]
BaAg2HgH: optimized geometry, PBE.

a b c (Å): 4.736 5.152 4.736
angles (deg): 90.00 90.00 90.00
Atoms (fractional coordinates):
Hg 0.500 0.500 0.500
H 0.000 0.000 0.000
Ag 0.500 0.000 0.000
Ag 0.000 0.000 0.500
Ba 0.000 0.500 0.000

Calculated values
As for the crystal system: tetragonal. The symmetry is P4/mmm (123).

---

[3]
Ba2AgHgH: optimized geometry, PBE.

a b c (Å): 5.609 5.609 4.574
angles (deg): 90.00 90.00 90.00
Atoms (fractional coordinates):
H 0.000 0.000 0.000
Ba 0.500 0.000 0.000
Ba 0.000 0.500 0.000
Hg 0.000 0.000 0.500
Ag 0.500 0.500 0.500

Calculated values
As for the crystal system: tetragonal. The symmetry is P4/mmm (123). The offset from the most stable computed form is 0.338 eV/f.u.

---

[4]
Ba2AgHgH: optimized geometry, PBE.

a b c (Å): 5.841 5.841 4.174
angles (deg): 90.00 90.00 90.00
Atoms (fractional coordinates):
Ba 0.500 0.000 0.000
Ba 0.000 0.500 0.000
H 0.000 0.000 0.000
Ag 0.000 0.000 0.500
Hg 0.500 0.500 0.500

Calculated values
As for the crystal system: tetragonal. The symmetry is P4/mmm (123). The offset from the most stable computed form is 0.000 eV/f.u.

---

[5]
Ba2AgH6Ir: optimized geometry, PBE.

a b c (Å): 5.436 5.693 5.693
angles (deg): 120.00 90.00 90.00
Atoms (fractional coordinates):
Ag 0.500 0.000 0.000
H 0.177 0.852 0.148
H 0.823 0.703 0.852
H 0.823 0.148 0.852
H 0.823 0.148 0.297
H 0.177 0.852 0.703
H 0.177 0.297 0.148
Ba 0.233 0.333 0.667
Ba 0.767 0.667 0.333
Ir 0.000 0.000 0.000

Calculated values
As for the crystal system: trigonal. The symmetry is P-3m1 (164).

---

[6]
K2BaAgH: optimized geometry, PBE.

a b c (Å): 5.323 5.323 5.856
angles (deg): 90.00 90.00 90.00
Atoms (fractional coordinates):
H 0.000 0.000 0.000
Ag 0.500 0.500 0.500
K 0.500 0.000 0.000
K 0.000 0.500 0.000
Ba 0.000 0.000 0.500

Calculated values
As for the crystal system: tetragonal. The symmetry is P4/mmm (123).

---

Number 1: E_tot -3.237 eV per atom, spin magnetization 0.0 μB per formula unit. Number 2: E_tot -2.223 eV per atom, spin magnetization 0.0 μB per formula unit. Number 3: E_tot -2.345 eV per atom, spin magnetization 0.0 μB per formula unit. Number 4: E_tot -2.413 eV per atom, spin magnetization 0.0 μB per formula unit. Number 5: E_tot -3.902 eV per atom, spin magnetization 0.0 μB per formula unit. Number 6: E_tot -2.104 eV per atom, spin magnetization 0.0 μB per formula unit.